A relaxed UVRuO6 crystal. Source: Alexandria via LeMat-Bulk, functional GGA+U.

Output
Total magnetic moment = 3.0 μB per formula unit
VASP energy = -8.46 eV per atom

Cell and atoms, written as extended XYZ:
```
18
Lattice="5.3082 0.0000 0.0000 -2.6541 4.5970 0.0000 0.0000 0.0000 8.7494" Properties=species:S:1:pos:R:3 pbc="T T T"
U 0.0000 3.0647 2.1873
U 2.6541 1.5323 6.5620
V 0.0000 3.0647 6.5620
V 2.6541 1.5323 2.1873
Ru 0.0000 0.0000 0.0000
Ru 0.0000 0.0000 4.3747
O -0.8366 1.5361 5.4872
O -1.7421 3.1045 7.6368
O 0.8366 1.5361 7.6368
O -0.9055 4.5535 5.4872
O 1.7486 0.0435 1.1125
O 0.9120 1.4926 3.2621
O 1.7421 3.1045 5.4872
O 0.9055 4.5535 7.6368
O 3.5596 0.0435 3.2621
O 1.8175 3.0609 1.1125
O 4.3962 1.4926 1.1125
O 3.4907 3.0609 3.2621
```

***

A relaxed V2RuO6 crystal. Source: Alexandria via LeMat-Bulk, functional GGA+U.

Output
Total magnetic moment = 1.7 μB per formula unit
VASP energy = -7.49 eV per atom

Cell and atoms, written as extended XYZ:
```
27
Lattice="8.7260 0.0000 0.0000 -4.3630 7.5570 0.0000 0.0000 0.0000 4.4207" Properties=species:S:1:pos:R:3 pbc="T T T"
V -1.4949 2.5893 0.0000
V -2.8681 4.9677 0.0000
V 2.9899 0.0000 0.0000
V 1.4949 2.5893 0.0000
V 5.7362 0.0000 0.0000
V 2.8681 4.9677 0.0000
Ru 0.0000 0.0000 0.0000
Ru 0.0000 5.0380 2.2299
Ru 4.3630 2.5190 2.1908
O -1.4867 4.1796 1.1006
O 0.0000 1.7356 0.9488
O -2.8599 6.6892 0.9488
O 0.0000 3.3782 3.3638
O -1.4374 5.8679 3.3638
O 1.5031 0.8678 3.4720
O 2.9256 1.6891 1.0569
O 1.4867 4.1796 1.1006
O 0.0000 6.7547 1.1006
O 4.3630 0.8023 3.3201
O 2.8763 3.3773 3.3201
O 1.4374 5.8679 3.3638
O 2.8599 6.6892 0.9488
O 5.8004 1.6891 1.0569
O 4.3630 4.1788 1.0569
O 7.2229 0.8678 3.4720
O 4.3630 5.8213 3.4720
O 5.8497 3.3773 3.3201
```

***

A relaxed VRu3O crystal. Source: Alexandria via LeMat-Bulk, functional GGA+U.

Output
Total magnetic moment = 1.7 μB per formula unit
VASP energy = -7.67 eV per atom

Cell and atoms, written as extended XYZ:
```
5
Lattice="4.0647 0.0000 0.0000 0.0000 4.0647 0.0000 0.0000 0.0000 4.0647" Properties=species:S:1:pos:R:3 pbc="T T T"
V 0.0000 0.0000 0.0000
Ru 0.0000 2.0324 2.0324
Ru 2.0324 0.0000 2.0324
Ru 2.0324 2.0324 0.0000
O 2.0324 2.0324 2.0324
```

***

A relaxed VRu2O6 crystal. Source: Alexandria via LeMat-Bulk, functional GGA+U.

Output
Total magnetic moment = 0.2 μB per formula unit
VASP energy = -7.44 eV per atom

Cell and atoms, written as extended XYZ:
```
27
Lattice="8.4512 0.0000 0.0000 -4.2256 7.3190 0.0000 0.0000 0.0000 4.5433" Properties=species:S:1:pos:R:3 pbc="T T T"
V 0.0000 0.0000 0.0000
V 0.0000 4.8793 2.2544
V 4.2256 2.4397 2.2889
Ru -1.4102 2.4426 0.0000
Ru -2.8230 4.8895 2.2717
Ru 1.4026 2.4294 2.2717
Ru 2.8204 0.0000 0.0000
Ru 2.8154 4.8764 0.0000
Ru 5.6459 0.0000 2.2717
O -2.8591 6.4666 1.0923
O -1.3793 4.0674 1.1393
O 0.0550 1.6096 1.0923
O -0.0787 3.2764 3.3509
O 1.3665 0.8524 3.4510
O -1.3488 5.7489 3.3509
O -0.0135 6.4798 1.1393
O 1.3928 4.0908 1.1393
O 2.8768 1.5700 1.1924
O 1.4275 5.6126 3.3509
O 4.2121 0.8392 3.4041
O 2.8463 3.2516 3.4041
O 4.1469 4.0425 1.1924
O 2.8042 6.5618 1.0923
O 5.6531 1.7064 1.1924
O 7.0298 0.7572 3.4510
O 5.6184 3.2282 3.4041
O 4.2806 5.7094 3.4510
```

***

A relaxed V3RuO crystal. Source: Alexandria via LeMat-Bulk, functional GGA+U.

Output
Total magnetic moment = 7.7 μB per formula unit
VASP energy = -5.62 eV per atom

Cell and atoms, written as extended XYZ:
```
5
Lattice="4.7509 0.0000 0.0000 0.0000 4.7509 0.0000 0.0000 0.0000 4.7509" Properties=species:S:1:pos:R:3 pbc="T T T"
V 0.0000 0.0000 2.3755
V 0.0000 2.3755 0.0000
V 2.3755 0.0000 0.0000
Ru 0.0000 0.0000 0.0000
O 2.3755 2.3755 2.3755
```

***

A relaxed VRu3O crystal. Source: Alexandria via LeMat-Bulk, functional GGA+U.

Output
Total magnetic moment = 5.2 μB per formula unit
VASP energy = -5.91 eV per atom

Cell and atoms, written as extended XYZ:
```
5
Lattice="4.5391 0.0000 0.0000 0.0000 4.5391 0.0000 0.0000 0.0000 4.5391" Properties=species:S:1:pos:R:3 pbc="T T T"
V 0.0000 0.0000 0.0000
Ru 0.0000 0.0000 2.2696
Ru 0.0000 2.2696 0.0000
Ru 2.2696 0.0000 0.0000
O 2.2696 2.2696 2.2696
```